No. 1
## La2NbGa2 (PBE)

Data for La2NbGa2 after structural relaxation.

Structure (POSCAR):
```
La2NbGa2
1.0
-1.8195 1.8195 9.9095
1.8195 -1.8195 9.9095
1.8195 1.8195 -9.9095
La Nb Ga
2 1 2
Direct
0.1025 0.1025 0.0000
0.8975 0.8975 0.0000
0.5000 0.5000 0.0000
0.2500 0.7500 0.5000
0.7500 0.2500 0.5000
```

Output
space group	I4/mmm
ΔE to the lowest computed polymorph	1.827	eV per formula unit

No. 2
## La2NbGa2 (PBE)

Data for La2NbGa2 after structural relaxation.

Structure (POSCAR):
```
La2NbGa2
1.0
7.4300 0.0000 0.0000
0.0000 7.4300 0.0000
0.0000 0.0000 4.6003
La Nb Ga
4 2 4
Direct
0.1699 0.3301 0.0000
0.3301 0.8301 0.0000
0.6699 0.1699 0.0000
0.8301 0.6699 0.0000
0.0000 0.0000 0.5000
0.5000 0.5000 0.5000
0.1336 0.6336 0.5000
0.3664 0.1336 0.5000
0.6336 0.8664 0.5000
0.8664 0.3664 0.5000
```

Output
space group	P4/mbm
ΔE to the lowest computed polymorph	0.000	eV per formula unit

No. 3
## LaNb3Ga (PBE)

Data for LaNb3Ga after structural relaxation.

Structure (POSCAR):
```
LaNb3Ga
1.0
4.9184 0.0000 0.0000
0.0000 4.9184 0.0000
0.0000 0.0000 4.9184
La Nb Ga
1 3 1
Direct
0.0000 0.0000 0.0000
0.0000 0.0000 0.5000
0.0000 0.5000 0.0000
0.5000 0.0000 0.0000
0.5000 0.5000 0.5000
```

Output
space group	Pm-3m
ΔE to the lowest computed polymorph	4.689	eV per formula unit

No. 4
## La2NbGa (PBE)

Data for La2NbGa after structural relaxation.

Structure (POSCAR):
```
La2NbGa
1.0
1.6103 0.9297 11.3533
-1.6103 0.9297 11.3533
0.0000 -1.8594 11.3533
La Nb Ga
2 1 1
Direct
0.0873 0.0873 0.0873
0.9127 0.9127 0.9127
0.0000 0.0000 0.0000
0.5000 0.5000 0.5000
```

Output
space group	R-3m
calculated total energy	-5.339	eV/atom

No. 5
## LaNb3Ga (PBE)

Data for LaNb3Ga after structural relaxation.

Structure (POSCAR):
```
LaNb3Ga
1.0
4.9403 0.0000 0.0000
0.0000 4.9403 0.0000
0.0000 0.0000 4.9403
La Nb Ga
1 3 1
Direct
0.0000 0.0000 0.0000
0.0000 0.5000 0.5000
0.5000 0.0000 0.5000
0.5000 0.5000 0.0000
0.5000 0.5000 0.5000
```

Output
space group	Pm-3m
ΔE to the lowest computed polymorph	0.000	eV per formula unit

No. 6
## LaNbGa3 (PBE)

Data for LaNbGa3 after structural relaxation.

Structure (POSCAR):
```
LaNbGa3
1.0
5.3260 0.0000 0.0000
0.0000 5.3260 0.0000
0.0000 0.0000 5.3260
La Nb Ga
1 1 3
Direct
0.0000 0.0000 0.0000
0.5000 0.5000 0.5000
0.0000 0.0000 0.5000
0.0000 0.5000 0.0000
0.5000 0.0000 0.0000
```

Output
space group	Pm-3m
ΔE to the lowest computed polymorph	8.672	eV per formula unit

No. 7
## LaNbGa3 (PBE)

Data for LaNbGa3 after structural relaxation.

Structure (POSCAR):
```
LaNbGa3
1.0
4.9800 0.0000 0.0000
0.0000 4.9800 0.0000
0.0000 0.0000 4.9800
La Nb Ga
1 1 3
Direct
0.0000 0.0000 0.0000
0.5000 0.5000 0.5000
0.0000 0.5000 0.5000
0.5000 0.0000 0.5000
0.5000 0.5000 0.0000
```

Output
space group	Pm-3m
ΔE to the lowest computed polymorph	0.000	eV per formula unit

No. 8
## La2NbGa (PBE)

Data for La2NbGa after structural relaxation.

Structure (POSCAR):
```
La2NbGa
1.0
-4.1796 4.1796 3.0081
4.1796 -4.1796 3.0081
4.1796 4.1796 -3.0081
La Nb Ga
4 2 2
Direct
0.1240 0.6250 0.9990
0.3750 0.3740 0.4990
0.6260 0.1250 0.0010
0.8750 0.8760 0.5010
0.0000 0.0000 0.0000
0.7500 0.2500 0.5000
0.2500 0.7500 0.5000
0.5000 0.5000 0.0000
```

Output
space group	I-42d
calculated total energy	-5.394	eV/atom

Copy entry 6 word for word.
## LaNbGa3 (PBE)

Data for LaNbGa3 after structural relaxation.

Structure (POSCAR):
```
LaNbGa3
1.0
5.3260 0.0000 0.0000
0.0000 5.3260 0.0000
0.0000 0.0000 5.3260
La Nb Ga
1 1 3
Direct
0.0000 0.0000 0.0000
0.5000 0.5000 0.5000
0.0000 0.0000 0.5000
0.0000 0.5000 0.0000
0.5000 0.0000 0.0000
```

Output
space group	Pm-3m
ΔE to the lowest computed polymorph	8.672	eV per formula unit